# 1
# W2Se3S PBE relaxed
# - DFT total energy: -44.21 eV per cell
# - Distance to the lowest polymorph of the same formula: 0.006 eV per atom
# - SG: Cm (8)
data_W2Se3S
_chemical_formula_sum 'W2 Se3 S1'
_cell_length_a 3.2860
_cell_length_b 3.2860
_cell_length_c 22.7314
_cell_angle_alpha 90.00
_cell_angle_beta 90.00
_cell_angle_gamma 60.00
_symmetry_space_group_name_H-M 'P 1'
_symmetry_Int_Tables_number 1
loop_
_symmetry_equiv_pos_as_xyz
'x,y,z'
loop_
_atom_site_label
_atom_site_fract_x
_atom_site_fract_y
_atom_site_fract_z
S1 0.2569 0.2569 0.0697
Se1 0.7569 0.7569 0.4254
Se2 0.7569 0.7569 0.5746
Se3 0.2569 0.2569 0.9277
W1 0.9235 0.9235 0.0026
W2 0.4235 0.4235 0.5000

# 2
# Zn2SeS PBE relaxed
# - DFT total energy: -13.16 eV per cell
# - Distance to the lowest polymorph of the same formula: 0.000 eV per atom
# - SG: P-4m2 (115)
data_Zn2SeS
_chemical_formula_sum 'Zn2 Se1 S1'
_cell_length_a 3.9475
_cell_length_b 3.9475
_cell_length_c 5.5789
_cell_angle_alpha 90.00
_cell_angle_beta 90.00
_cell_angle_gamma 90.00
_symmetry_space_group_name_H-M 'P 1'
_symmetry_Int_Tables_number 1
loop_
_symmetry_equiv_pos_as_xyz
'x,y,z'
loop_
_atom_site_label
_atom_site_fract_x
_atom_site_fract_y
_atom_site_fract_z
S1 0.0000 0.0000 0.5000
Se1 0.5000 0.5000 0.0000
Zn1 0.0000 0.5000 0.2631
Zn2 0.5000 0.0000 0.7369

# 3
# Zn2SeS PBE relaxed
# - DFT total energy: -13.14 eV per cell
# - Distance to the lowest polymorph of the same formula: 0.007 eV per atom
# - SG: P3m1 (156)
data_Zn2SeS
_chemical_formula_sum 'Zn2 Se1 S1'
_cell_length_a 3.9404
_cell_length_b 3.9404
_cell_length_c 6.4697
_cell_angle_alpha 90.00
_cell_angle_beta 90.00
_cell_angle_gamma 120.00
_symmetry_space_group_name_H-M 'P 1'
_symmetry_Int_Tables_number 1
loop_
_symmetry_equiv_pos_as_xyz
'x,y,z'
loop_
_atom_site_label
_atom_site_fract_x
_atom_site_fract_y
_atom_site_fract_z
S1 0.0000 0.0000 0.8763
Se1 0.6667 0.3333 0.3729
Zn1 0.0000 0.0000 0.5121
Zn2 0.6667 0.3333 0.9888

# 4
# ZrSe2S PBE relaxed
# - DFT total energy: -47.98 eV per cell
# - SG: P2_1/m (11)
data_ZrSe2S
_chemical_formula_sum 'Zr2 Se4 S2'
_cell_length_a 5.4062
_cell_length_b 3.7504
_cell_length_c 9.7099
_cell_angle_alpha 90.00
_cell_angle_beta 96.94
_cell_angle_gamma 90.00
_symmetry_space_group_name_H-M 'P 1'
_symmetry_Int_Tables_number 1
loop_
_symmetry_equiv_pos_as_xyz
'x,y,z'
loop_
_atom_site_label
_atom_site_fract_x
_atom_site_fract_y
_atom_site_fract_z
S1 0.4718 0.2500 0.1942
S2 0.5282 0.7500 0.8058
Se1 0.8773 0.2500 0.1645
Se2 0.2355 0.7500 0.4454
Se3 0.7645 0.2500 0.5546
Se4 0.1227 0.7500 0.8355
Zr1 0.7133 0.7500 0.3444
Zr2 0.2867 0.2500 0.6556

# 5
# ZrSe2S PBE relaxed
# - DFT total energy: -48.20 eV per cell
# - SG: P2_1/m (11)
data_ZrSe2S
_chemical_formula_sum 'Zr2 Se4 S2'
_cell_length_a 5.3182
_cell_length_b 3.7295
_cell_length_c 9.5898
_cell_angle_alpha 90.00
_cell_angle_beta 97.20
_cell_angle_gamma 90.00
_symmetry_space_group_name_H-M 'P 1'
_symmetry_Int_Tables_number 1
loop_
_symmetry_equiv_pos_as_xyz
'x,y,z'
loop_
_atom_site_label
_atom_site_fract_x
_atom_site_fract_y
_atom_site_fract_z
S1 0.2617 0.2500 0.0495
S2 0.7383 0.7500 0.9505
Se1 0.0482 0.7500 0.3181
Se2 0.6041 0.7500 0.3241
Se3 0.3959 0.2500 0.6759
Se4 0.9518 0.2500 0.6819
Zr1 0.7818 0.2500 0.1439
Zr2 0.2182 0.7500 0.8561

# 6
# SmSiS3 PBE relaxed
# - DFT total energy: -112.38 eV per cell
# - SG: P2_1/c (14)
data_SmSiS3
_chemical_formula_sum 'Sm4 Si4 S12'
_cell_length_a 6.8422
_cell_length_b 10.3154
_cell_length_c 6.3841
_cell_angle_alpha 90.00
_cell_angle_beta 99.49
_cell_angle_gamma 90.00
_symmetry_space_group_name_H-M 'P 1'
_symmetry_Int_Tables_number 1
loop_
_symmetry_equiv_pos_as_xyz
'x,y,z'
loop_
_atom_site_label
_atom_site_fract_x
_atom_site_fract_y
_atom_site_fract_z
S1 0.2481 0.9677 0.0681
S2 0.4149 0.6578 0.1065
S3 0.9160 0.7121 0.1131
S4 0.0840 0.2121 0.3869
S5 0.5851 0.1578 0.3935
S6 0.7519 0.4677 0.4319
S7 0.2481 0.5323 0.5681
S8 0.4149 0.8422 0.6065
S9 0.9160 0.7879 0.6131
S10 0.0840 0.2879 0.8869
S11 0.5851 0.3422 0.8935
S12 0.7519 0.0323 0.9319
Si1 0.8453 0.2195 0.0598
Si2 0.1547 0.7195 0.4402
Si3 0.8453 0.2805 0.5598
Si4 0.1547 0.7805 0.9402
Sm1 0.3737 0.3867 0.2466
Sm2 0.6263 0.8867 0.2534
Sm3 0.3737 0.1133 0.7466
Sm4 0.6263 0.6133 0.7534